A plane-wave DFT calculation with PBE-GGA was carried out for a geometry-optimized VNiP structure.

Geometry as POSCAR:
```
VNiP
1.0
0.0000 2.7211 2.7211
2.7211 0.0000 2.7211
2.7211 2.7211 0.0000
V Ni P
1 1 1
direct
0.0000 0.0000 0.0000 V
0.5000 0.5000 0.5000 Ni
0.7500 0.7500 0.7500 P
```

---

A plane-wave DFT calculation with PBE-GGA was carried out for a geometry-optimized Pm4Tm3In structure.

Geometry as POSCAR:
```
Pm4Tm3In
1.0
10.0552 0.0000 0.0000
0.0000 6.9838 0.0000
0.0000 0.0000 7.0503
Pm Tm In
8 6 2
direct
0.0000 0.0004 0.0002 Pm
0.0000 0.5000 0.5000 Pm
0.2503 0.2465 0.2502 Pm
0.2497 0.7535 0.7502 Pm
0.5000 0.9996 0.5002 Pm
0.5000 0.5000 0.0000 Pm
0.7497 0.2465 0.2502 Pm
0.7503 0.7535 0.7502 Pm
0.0000 0.0002 0.5001 Tm
0.2500 0.2570 0.7502 Tm
0.2500 0.7430 0.2502 Tm
0.5000 0.9998 0.0001 Tm
0.7500 0.2570 0.7502 Tm
0.7500 0.7430 0.2502 Tm
0.0000 0.5003 0.9997 In
0.5000 0.4997 0.4997 In
```

---

Number 1: ΔH_f (0 K) -471 meV/atom. Number 2: ΔH_f (0 K) -79 meV/atom.